The following is a DFT calculation (PBE) of a relaxed CoNiP4 crystal.

Energy of formation in eV/atom: -0.28
SG: No. 15
Excess energy over the best structure of this formula in the dataset in eV/atom: 0.0000

a = 4.767 Å, b = 5.290 Å, c = 7.323 Å
α = 111.02°, β = 108.82°, γ = 90.45°
Element x y z (fractional)
1 Co 0.192 0.442 0.384
2 Co 0.808 0.558 0.616
3 Ni 0.436 0.186 0.872
4 Ni 0.564 0.814 0.128
5 P 0.138 0.884 0.905
6 P 0.767 0.521 0.905
7 P 0.899 0.771 0.408
8 P 0.101 0.229 0.592
9 P 0.491 0.862 0.592
10 P 0.233 0.479 0.095
11 P 0.509 0.138 0.408
12 P 0.862 0.116 0.095


The following is a DFT calculation (PBE) of a relaxed TaGeAs2Br crystal.

SG: No. 123
Excess energy over the best structure of this formula in the dataset in eV/atom: 0.7423
Formation energy (no corrections) in eV per atom: 1.148

a = 4.879 Å, b = 4.879 Å, c = 4.940 Å
α = 90.00°, β = 90.00°, γ = 90.00°
Element x y z (fractional)
1 As 0.000 0.500 0.000
2 As 0.500 0.000 0.000
3 Ge 0.000 0.000 0.000
4 Br 0.000 0.000 0.500
5 Ta 0.500 0.500 0.500


The following is a DFT calculation (PBE) of a relaxed Sc3H2Se2 crystal.

SG: No. 14
E_tot in eV/atom: -5.703

a = 6.471 Å, b = 7.049 Å, c = 5.425 Å
α = 90.00°, β = 63.72°, γ = 90.00°
Element x y z (fractional)
1 Sc 0.500 0.500 0.000
2 Sc 0.000 0.000 0.000
3 Sc 0.737 0.133 0.605
4 Sc 0.763 0.633 0.395
5 Sc 0.237 0.367 0.605
6 Sc 0.263 0.867 0.395
7 H 0.558 0.395 0.635
8 H 0.942 0.895 0.365
9 H 0.058 0.105 0.635
10 H 0.442 0.605 0.365
11 Se 0.921 0.658 0.811
12 Se 0.421 0.842 0.811
13 Se 0.579 0.158 0.189
14 Se 0.079 0.342 0.189


The following is a DFT calculation (PBE) of a relaxed YErP2Rh5 crystal.

Energy of formation in eV/atom: -1.01
SG: No. 123

a = 4.103 Å, b = 4.103 Å, c = 8.676 Å
α = 90.00°, β = 90.00°, γ = 90.00°
Element x y z (fractional)
1 Y 0.000 0.000 0.000
2 Er 0.000 0.000 0.500
3 P 0.500 0.500 0.140
4 P 0.500 0.500 0.860
5 Rh 0.000 0.500 0.259
6 Rh 0.500 0.000 0.259
7 Rh 0.000 0.500 0.741
8 Rh 0.500 0.000 0.741
9 Rh 0.500 0.500 0.500


The following is a DFT calculation (PBE) of a relaxed Gd2BeCu crystal.

Energy of formation in eV/atom: -0.03
SG: No. 225
Excess energy over the best structure of this formula in the dataset in eV/atom: 0.0168

a = 4.917 Å, b = 4.917 Å, c = 4.917 Å
α = 60.00°, β = 60.00°, γ = 60.00°
Element x y z (fractional)
1 Be 0.000 0.000 0.000
2 Gd 0.250 0.250 0.250
3 Gd 0.750 0.750 0.750
4 Cu 0.500 0.500 0.500


The following is a DFT calculation (PBE) of a relaxed Cd3Ge2As4 crystal.

Energy of formation in eV/atom: 0.05
SG: No. 15

a = 6.648 Å, b = 8.201 Å, c = 8.201 Å
α = 83.46°, β = 83.76°, γ = 83.76°
Element x y z (fractional)
1 Cd 0.900 0.020 0.228
2 Cd 0.600 0.772 0.980
3 Cd 0.100 0.980 0.772
4 Cd 0.400 0.228 0.020
5 Cd 0.250 0.707 0.293
6 Cd 0.750 0.293 0.707
7 Ge 0.387 0.202 0.441
8 Ge 0.113 0.559 0.798
9 Ge 0.613 0.798 0.559
10 Ge 0.887 0.441 0.202
11 As 0.503 0.964 0.265
12 As 0.997 0.735 0.036
13 As 0.497 0.036 0.735
14 As 0.003 0.265 0.964
15 As 0.003 0.224 0.439
16 As 0.497 0.561 0.776
17 As 0.997 0.776 0.561
18 As 0.503 0.439 0.224


The following is a DFT calculation (PBE) of a relaxed SiOs2C2 crystal.

SG: No. 127
Excess energy over the best structure of this formula in the dataset in eV/atom: 0.4414
Formation energy (no corrections) in eV per atom: 1.265

a = 6.401 Å, b = 6.401 Å, c = 2.723 Å
α = 90.00°, β = 90.00°, γ = 90.00°
Element x y z (fractional)
1 Si 0.000 0.000 0.000
2 Si 0.500 0.500 0.000
3 Os 0.351 0.851 0.000
4 Os 0.851 0.649 0.000
5 Os 0.649 0.149 0.000
6 Os 0.149 0.351 0.000
7 C 0.130 0.630 0.500
8 C 0.630 0.870 0.500
9 C 0.870 0.370 0.500
10 C 0.370 0.130 0.500


The following is a DFT calculation (PBE) of a relaxed TbCeBeN3 crystal.

SG: No. 11
Formation energy (no corrections) in eV per atom: -1.304

a = 3.335 Å, b = 7.142 Å, c = 6.834 Å
α = 98.29°, β = 90.00°, γ = 90.00°
Element x y z (fractional)
1 Tb 0.250 0.648 0.190
2 Tb 0.750 0.352 0.810
3 Ce 0.750 0.834 0.795
4 Ce 0.250 0.166 0.205
5 Be 0.250 0.077 0.598
6 Be 0.750 0.923 0.402
7 N 0.250 0.848 0.492
8 N 0.750 0.886 0.145
9 N 0.750 0.393 0.162
10 N 0.750 0.152 0.508
11 N 0.250 0.607 0.838
12 N 0.250 0.114 0.855